The following is a GGA-PBE calculation of an optimized crystal structure of CuTc3Ge6, from Alexandria.

Lattice parameters (Å, degrees): 6.2469 6.4820 9.1670 90.00 116.14 90.00
Closest atoms and distances in Å follow each position.
Space group P2_1/c (No. 14)
Asymmetric unit:
Cu  0.0000  0.0000  0.0000  6 Ge 2.40-2.67
Tc  0.2893  0.1515  0.7502  6 Ge 2.47-2.71
Tc  0.5000  0.0000  0.5000  6 Ge 2.47-2.50
Ge  0.0807  0.0248  0.2860  1 Cu 2.45, 3 Tc 2.47-2.57
Ge  0.2289  0.6878  0.0839  1 Cu 2.40, 2 Tc 2.47-2.61
Ge  0.4383  0.1415  0.0762  4 Tc 2.50-2.71, 1 Ge 2.62, 1 Cu 2.67

Results
The formation energy is 0.65 eV per formula unit. Its density of states at the Fermi level is 0.7033 states/eV/atom. As for the total energy: -6.225 eV/atom.



The following is a GGA-PBE calculation of an optimized crystal structure of CuTc2Ge, from Alexandria.

Lattice parameters (Å, degrees): 6.9434 6.9434 5.0955 90.00 90.00 90.00
Closest atoms and distances in Å follow each position.
Space group I-42d (No. 122)
Asymmetric unit:
Cu  0.0000  0.0000  0.0000  2 Ge 2.55, 4 Tc 2.64
Tc  0.2278  0.7500  0.6250  2 Ge 2.43, 2 Tc 2.57, 2 Cu 2.64
Ge  0.0000  0.0000  0.5000  4 Tc 2.43, 2 Cu 2.55

Results
The formation energy is 2.19 eV per formula unit. Its density of states at the Fermi level is 0.8252 states/eV/atom. As for the total energy: -6.814 eV/atom.



The following is a GGA-PBE calculation of an optimized crystal structure of Cu3TcGe, from Alexandria.

Lattice parameters (Å, degrees): 4.6402 4.6402 4.6402 90.00 90.00 90.00
Closest atoms and distances in Å follow each position.
Space group Pm-3m (No. 221)
Asymmetric unit:
Cu  0.0000  0.0000  0.5000  2 Tc 2.32
Tc  0.0000  0.0000  0.0000  6 Cu 2.32
Ge  0.5000  0.5000  0.5000  12 Cu 3.28

Results
The formation energy is 7.02 eV per formula unit. Its density of states at the Fermi level is 1.2110 states/eV/atom. As for the total energy: -4.050 eV/atom.



The following is a GGA-PBE calculation of an optimized crystal structure of CuTcGe, from Alexandria.

Lattice parameters (Å, degrees): 3.1149 3.1149 8.6355 90.00 90.00 90.00
Closest atoms and distances in Å follow each position.
Space group I4mm (No. 107)
Asymmetric unit:
Cu  0.0000  0.0000  0.0000  4 Ge 2.61, 5 Tc 2.68-2.78
Tc  0.0000  0.0000  0.6777  4 Ge 2.60, 5 Cu 2.68-2.78
Ge  0.0000  0.0000  0.3388  4 Tc 2.60, 4 Cu 2.61

Results
The formation energy is 0.62 eV per formula unit. Its density of states at the Fermi level is 1.0208 states/eV/atom. As for the total energy: -6.153 eV/atom.



The following is a GGA-PBE calculation of an optimized crystal structure of CuTcGe2, from Alexandria.

Lattice parameters (Å, degrees): 3.2221 3.2221 5.5697 90.00 90.00 90.00
Closest atoms and distances in Å follow each position.
Space group P4/mmm (No. 123)
Asymmetric unit:
Cu  0.0000  0.0000  0.0000  8 Ge 2.67, 2 Tc 2.78
Tc  0.0000  0.0000  0.5000  8 Ge 2.67, 2 Cu 2.78
Ge  0.5000  0.5000  0.2489  4 Cu 2.67, 4 Tc 2.67, 2 Ge 2.77-2.80

Results
The formation energy is 0.03 eV per formula unit. Its density of states at the Fermi level is 0.3954 states/eV/atom. As for the total energy: -5.917 eV/atom.



The following is a GGA-PBE calculation of an optimized crystal structure of CuTcGe2, from Alexandria.

Lattice parameters (Å, degrees): 6.1791 6.1791 6.1791 90.00 90.00 90.00
Closest atoms and distances in Å follow each position.
Space group Fm-3m (No. 225)
Asymmetric unit:
Cu  0.0000  0.0000  0.0000  8 Ge 2.68
Tc  0.0000  0.0000  0.5000  8 Ge 2.68
Ge  0.2500  0.2500  0.2500  4 Tc 2.68, 4 Cu 2.68

Results
The formation energy is 0.95 eV per formula unit. Its density of states at the Fermi level is 0.2907 states/eV/atom. As for the total energy: -5.686 eV/atom.